(1)
! SmTh5As6 PBE optimized geometry; values from VASP
&SYSTEM
  ibrav = 0, nat = 12, ntyp = 3
/
ATOMIC_SPECIES
Sm 150.36 Sm.upf
Th 232.04 Th.upf
As 74.92 As.upf
CELL_PARAMETERS angstrom
3.677 -6.370 0.000
3.677 6.370 0.000
-2.455 0.000 6.936
ATOMIC_POSITIONS angstrom
Sm 0.000 0.000 0.000
Th 2.450 4.251 3.468
Th 3.677 2.118 0.000
Th 2.450 0.000 3.468
Th 3.677 -2.118 0.000
Th 2.450 -4.251 3.468
As 1.221 2.118 1.729
As -0.010 0.000 5.206
As 1.221 -2.118 1.729
As 3.678 2.118 5.208
As 4.910 0.000 1.730
As 3.678 -2.118 5.208
! - E_tot (eV/atom) = -7.232
! - density of states at the Fermi level (states/eV/cell) = 6.6
! - calculated formation energy (eV/atom) = -1.423

=====

(2)
! NaLiHg2Mo PBE optimized geometry; values from VASP
&SYSTEM
  ibrav = 0, nat = 5, ntyp = 4
/
ATOMIC_SPECIES
Na 22.99 Na.upf
Li 6.94 Li.upf
Hg 200.59 Hg.upf
Mo 95.94 Mo.upf
CELL_PARAMETERS angstrom
4.787 0.000 0.000
0.000 4.787 0.000
0.000 0.000 4.349
ATOMIC_POSITIONS angstrom
Na 0.000 0.000 0.000
Li 0.000 0.000 2.175
Hg 0.000 2.393 2.175
Hg 2.393 0.000 2.175
Mo 2.393 2.393 0.000
! - E_tot (eV/atom) = -2.124
! - density of states at the Fermi level (states/eV/cell) = 3.3
! - calculated formation energy (eV/atom) = 0.809

=====

(3)
! RbNpCuBr6 PBE optimized geometry; values from VASP
&SYSTEM
  ibrav = 0, nat = 18, ntyp = 4
/
ATOMIC_SPECIES
Rb 85.47 Rb.upf
Np 237.00 Np.upf
Cu 63.55 Cu.upf
Br 79.90 Br.upf
CELL_PARAMETERS angstrom
7.059 0.000 0.000
-3.529 6.113 0.000
0.000 0.000 15.770
ATOMIC_POSITIONS angstrom
Rb 0.000 0.000 0.000
Rb 0.000 0.000 7.885
Np 0.000 4.075 3.943
Np 3.529 2.038 11.828
Cu 0.000 4.075 11.828
Cu 3.529 2.038 3.943
Br -1.235 2.269 10.237
Br -2.181 3.909 13.419
Br 1.235 2.269 13.419
Br -0.947 6.048 10.237
Br 2.583 0.065 2.352
Br 1.348 2.204 5.533
Br 2.181 3.909 10.237
Br 0.947 6.048 13.419
Br 4.476 0.065 5.533
Br 2.295 3.843 2.352
Br 5.711 2.204 2.352
Br 4.764 3.843 5.533
! - E_tot (eV/atom) = -4.242
! - density of states at the Fermi level (states/eV/cell) = 15.0
! - formation energy from raw total energies (eV per atom) = -1.13

=====

(4)
! Ag3GeB PBE optimized geometry; values from VASP
&SYSTEM
  ibrav = 0, nat = 5, ntyp = 3
/
ATOMIC_SPECIES
Ag 107.87 Ag.upf
Ge 72.64 Ge.upf
B 10.81 B.upf
CELL_PARAMETERS angstrom
4.420 0.000 0.000
0.000 4.420 0.000
0.000 0.000 4.420
ATOMIC_POSITIONS angstrom
Ag 0.000 0.000 2.210
Ag 0.000 2.210 0.000
Ag 2.210 0.000 0.000
Ge 2.210 2.210 2.210
B 0.000 0.000 0.000
! - E_tot (eV/atom) = -3.442
! - density of states at the Fermi level (states/eV/cell) = 1.5
! - calculated formation energy (eV/atom) = 0.528